Compound: AcSmTm
Source: OQMD
Functional: GGA-PBE
Structure: relaxed

Summary:
**Symmetry**: No. 216
**Calculated formation energy**: 0.655 eV per atom
**Magnetic moment**: 0.00 μB/cell
**Volume**: 127.1 Å³ per cell
**Excess energy over the best structure of this formula in the dataset**: 0 meV per atom

```
AcSmTm
1.0
0.0000 3.9906 3.9906
3.9906 0.0000 3.9906
3.9906 3.9906 0.0000
Ac Sm Tm
1 1 1
Cartesian
0.0000 0.0000 0.0000
3.9906 3.9906 3.9906
1.9953 1.9953 1.9953
```